1.
DFT (PBE) results for a geometry-optimized KBa11Au5 structure.

Results
* space-group type: No. 12
* total energy: -2.682 eV per atom
* E_form: -0.4090 eV per atom
* volume: 800.4 Å³ per cell
* total magnetic moment: 0.0000 μB/atom

Geometry as POSCAR:
```
KBa11Au5
1.0
-4.253 5.363 -4.537
-7.246 -6.902 1.760
0.212 5.004 8.841
K Ba Au
1 11 5
Direct
0.000 0.000 0.000 K
0.370 0.668 0.668 Ba
0.101 0.190 0.457 Ba
0.500 0.000 0.000 Ba
0.899 0.810 0.543 Ba
0.673 0.132 0.672 Ba
0.899 0.543 0.810 Ba
0.327 0.868 0.328 Ba
0.673 0.672 0.132 Ba
0.327 0.328 0.868 Ba
0.630 0.332 0.332 Ba
0.101 0.457 0.190 Ba
0.717 0.334 0.003 Au
0.283 0.997 0.666 Au
0.717 0.003 0.334 Au
0.283 0.666 0.997 Au
0.000 0.500 0.500 Au
```


2.
DFT (PBE) results for a geometry-optimized Mg2Sc6Tc structure.

Results
* space-group type: No. 38
* total energy: -5.765 eV per atom
* E_form: -0.0378 eV per atom
* volume: 207.4 Å³ per cell
* total magnetic moment: 0.1337 μB/atom

Geometry as POSCAR:
```
Mg2Sc6Tc
1.0
-2.689 1.437 -1.666
0.205 -6.129 -5.617
-4.643 -0.773 6.829
Sc Mg Tc
6 2 1
Direct
0.000 0.253 0.000 Sc
0.500 0.370 0.369 Sc
0.000 0.997 0.247 Sc
0.500 0.001 0.631 Sc
0.000 0.750 0.753 Sc
0.500 0.625 0.000 Sc
0.000 0.333 0.665 Mg
0.000 0.668 0.335 Mg
0.500 0.004 0.000 Tc
```


- Number 2 is which compound?
  Mg2Sc6Tc


- What is the formula in the first record?
  KBa11Au5


- What is the formula in the first record?
  KBa11Au5